No. 1
TlCrFe2P | Alexandria via LeMat-Bulk | PBE-GGA | relaxed; ΔH_f (0 K) = 175.1 kJ per mole of atoms
1.0
4.851 0.000 0.000
0.000 5.047 0.000
0.000 0.000 4.851
Cr Tl Fe P
1 1 2 1
Direct
0.000 0.500 0.000 Cr
0.000 0.000 0.000 Tl
0.000 0.000 0.500 Fe
0.500 0.000 0.000 Fe
0.500 0.500 0.500 P

No. 2
TmCrFeP2 | Alexandria via LeMat-Bulk | PBE-GGA | relaxed; ΔH_f (0 K) = -83.3 kJ per mole of atoms
1.0
3.857 0.000 0.000
0.000 3.857 0.000
-1.929 -1.929 4.776
Tm Cr Fe P
1 1 1 2
Direct
0.000 0.000 0.000 Tm
0.750 0.250 0.500 Cr
0.250 0.750 0.500 Fe
0.627 0.627 0.255 P
0.373 0.373 0.745 P

No. 3
UCrFeP2 | Alexandria via LeMat-Bulk | PBE-GGA | relaxed; ΔH_f (0 K) = -68.3 kJ per mole of atoms
1.0
-3.437 -1.740 -0.673
0.921 -0.356 -3.784
3.176 -3.070 3.082
U Cr Fe P
1 1 1 2
Direct
0.000 0.000 0.000 U
0.250 0.750 0.500 Cr
0.750 0.250 0.500 Fe
0.629 0.629 0.259 P
0.371 0.371 0.741 P

No. 4
VCrFe2P | Alexandria via LeMat-Bulk | PBE-GGA | relaxed; ΔH_f (0 K) = 44.4 kJ per mole of atoms
1.0
4.009 0.000 0.000
0.000 4.182 0.000
0.000 0.000 4.009
Cr Fe P V
1 2 1 1
Direct
0.000 0.500 0.000 Cr
0.000 0.000 0.500 Fe
0.500 0.000 0.000 Fe
0.000 0.000 0.000 P
0.500 0.500 0.500 V

No. 5
YCrFeP2 | Alexandria via LeMat-Bulk | PBE-GGA | relaxed; ΔH_f (0 K) = -83.6 kJ per mole of atoms
1.0
3.875 0.000 0.000
0.000 3.875 0.000
-1.937 -1.937 4.865
Y Cr Fe P
1 1 1 2
Direct
0.000 0.000 0.000 Y
0.750 0.250 0.500 Cr
0.250 0.750 0.500 Fe
0.631 0.631 0.262 P
0.369 0.369 0.738 P

No. 6
Pa2CrFe | Alexandria via LeMat-Bulk | PBE-GGA | relaxed; ΔH_f (0 K) = 52.0 kJ per mole of atoms
1.0
-1.675 -1.208 2.205
1.052 -2.351 1.580
3.735 4.792 7.533
Cr Pa Fe
1 2 1
Direct
0.500 0.500 0.500 Cr
0.083 0.083 0.750 Pa
0.917 0.917 0.250 Pa
0.000 0.000 0.000 Fe

No. 7
PaCrFe4 | Alexandria via LeMat-Bulk | PBE-GGA | relaxed; ΔH_f (0 K) = 6.4 kJ per mole of atoms
1.0
-1.531 -2.986 -3.616
3.182 -1.538 -3.442
1.451 -4.714 -0.087
Cr Pa Fe
1 1 4
Direct
0.250 0.250 0.250 Cr
0.000 0.000 0.000 Pa
0.624 0.624 0.127 Fe
0.624 0.127 0.624 Fe
0.624 0.624 0.624 Fe
0.127 0.624 0.624 Fe

No. 8
PaCrFe2 | Alexandria via LeMat-Bulk | PBE-GGA | relaxed; ΔH_f (0 K) = 5.4 kJ per mole of atoms
1.0
3.785 0.000 0.000
1.892 3.278 0.000
1.892 1.093 4.876
Cr Pa Fe
1 1 2
Direct
0.500 0.500 0.500 Cr
0.000 0.000 0.000 Pa
0.783 0.783 0.652 Fe
0.217 0.217 0.348 Fe

No. 9
PaCrFe | Alexandria via LeMat-Bulk | PBE-GGA | relaxed; ΔH_f (0 K) = 0.8 kJ per mole of atoms
1.0
-0.417 -4.347 -1.508
6.181 -2.666 -1.632
1.423 -4.527 5.045
Cr Pa Fe
4 4 4
Direct
0.348 0.681 0.931 Cr
0.652 0.819 0.569 Cr
0.652 0.319 0.069 Cr
0.348 0.181 0.431 Cr
0.212 0.501 0.751 Pa
0.212 0.001 0.251 Pa
0.788 0.499 0.249 Pa
0.788 0.999 0.749 Pa
0.817 0.420 0.670 Fe
0.817 0.920 0.170 Fe
0.183 0.580 0.330 Fe
0.183 0.080 0.830 Fe

No. 10
PaCrFe2 | Alexandria via LeMat-Bulk | PBE-GGA | relaxed; ΔH_f (0 K) = 11.4 kJ per mole of atoms
1.0
3.502 0.000 0.000
0.000 4.096 0.000
0.000 0.000 4.096
Cr Pa Fe
1 1 2
Direct
0.500 0.500 0.500 Cr
0.500 0.000 0.000 Pa
0.000 0.000 0.500 Fe
0.000 0.500 0.000 Fe

No. 11
Pa2CrFeS5 | Alexandria via LeMat-Bulk | PBE-GGA | relaxed; ΔE_f (raw) = -1.155 eV per atom
1.0
-1.913 2.897 1.310
1.032 -4.577 6.371
9.641 5.337 2.272
Pa Cr Fe S
4 2 2 10
Direct
0.887 0.775 0.843 Pa
0.124 0.248 0.700 Pa
0.113 0.225 0.343 Pa
0.876 0.752 0.200 Pa
0.826 0.653 0.529 Cr
0.174 0.347 0.029 Cr
0.563 0.127 0.926 Fe
0.437 0.873 0.426 Fe
0.336 0.672 0.019 S
0.698 0.396 0.860 S
0.499 0.998 0.752 S
0.308 0.616 0.675 S
0.983 0.965 0.518 S
0.664 0.328 0.519 S
0.302 0.604 0.360 S
0.501 0.002 0.252 S
0.692 0.384 0.175 S
0.017 0.035 0.018 S

No. 12
PaCrFeSb | Alexandria via LeMat-Bulk | PBE-GGA | relaxed; ΔE_f (raw) = 0.066 eV per atom
1.0
4.588 0.000 0.000
2.294 3.974 0.000
2.294 1.325 3.746
Sb Pa Fe Cr
1 1 1 1
Direct
0.000 0.000 0.000 Sb
0.500 0.500 0.500 Pa
0.750 0.750 0.750 Fe
0.250 0.250 0.250 Cr

No. 13
PaCrFeSi2 | Alexandria via LeMat-Bulk | PBE-GGA | relaxed; ΔE_f (raw) = -0.516 eV per atom
1.0
3.988 0.000 0.000
0.000 3.988 0.000
-1.994 -1.994 4.899
Pa Cr Fe Si
1 1 1 2
Direct
0.000 0.000 0.000 Pa
0.250 0.750 0.500 Cr
0.750 0.250 0.500 Fe
0.624 0.624 0.247 Si
0.376 0.376 0.753 Si

No. 14
PaCrFeTc | Alexandria via LeMat-Bulk | PBE-GGA | relaxed; ΔH_f (0 K) = 13.1 kJ per mole of atoms
1.0
4.489 0.000 0.000
2.245 3.888 0.000
2.245 1.296 3.665
Cr Pa Tc Fe
1 1 1 1
Direct
0.250 0.250 0.250 Cr
0.750 0.750 0.750 Pa
0.000 0.000 0.000 Tc
0.500 0.500 0.500 Fe

No. 15
Cr4FePb | Alexandria via LeMat-Bulk | PBE-GGA | relaxed; ΔH_f (0 K) = 50.8 kJ per mole of atoms
1.0
3.738 -1.210 -2.901
1.917 -4.486 0.230
-0.680 -3.138 -3.680
Cr Fe Pb
4 1 1
Direct
0.623 0.623 0.131 Cr
0.623 0.131 0.623 Cr
0.623 0.623 0.623 Cr
0.131 0.623 0.623 Cr
0.250 0.250 0.250 Fe
0.000 0.000 0.000 Pb

No. 16
Cr3FePb | Alexandria via LeMat-Bulk | PBE-GGA | relaxed; ΔH_f (0 K) = 193.7 kJ per mole of atoms
1.0
5.180 0.000 0.000
0.000 5.180 0.000
0.000 0.000 5.180
Pb Cr Fe
1 3 1
Direct
0.000 0.000 0.000 Pb
0.000 0.500 0.000 Cr
0.000 0.000 0.500 Cr
0.500 0.000 0.000 Cr
0.500 0.500 0.500 Fe

No. 17
Cr2FePb | Alexandria via LeMat-Bulk | PBE-GGA | relaxed; ΔH_f (0 K) = 76.4 kJ per mole of atoms
1.0
6.966 0.000 0.000
6.134 3.301 0.000
6.134 1.546 2.917
Cr Fe Pb
2 1 1
Direct
0.968 0.968 0.968 Cr
0.532 0.532 0.532 Cr
0.250 0.250 0.250 Fe
0.750 0.750 0.750 Pb

No. 18
CrFePb | Alexandria via LeMat-Bulk | PBE-GGA | relaxed; ΔH_f (0 K) = 57.6 kJ per mole of atoms
1.0
-0.266 5.958 -0.176
-3.191 5.035 -0.275
-0.371 0.860 2.923
Cr Fe Pb
1 1 1
Direct
0.967 0.967 0.033 Cr
0.361 0.361 0.639 Fe
0.671 0.671 0.329 Pb

No. 19
Cr2FePb | Alexandria via LeMat-Bulk | PBE-GGA | relaxed; ΔH_f (0 K) = 63.2 kJ per mole of atoms
1.0
-2.975 1.699 -3.576
-3.654 -3.048 -1.373
1.821 2.150 4.072
Cr Fe Pb
2 1 1
Direct
0.992 0.992 0.000 Cr
0.508 0.508 0.000 Cr
0.750 0.250 0.500 Fe
0.250 0.750 0.500 Pb

No. 20
Cr2FePb | Alexandria via LeMat-Bulk | PBE-GGA | relaxed; ΔH_f (0 K) = 48.4 kJ per mole of atoms
1.0
3.027 0.020 0.000
-0.019 3.027 0.000
0.000 0.000 7.129
Cr Fe Pb
2 1 1
Direct
0.000 0.000 0.063 Cr
0.500 0.500 0.262 Cr
0.000 0.000 0.443 Fe
0.500 0.500 0.732 Pb

No. 21
Cr2FePb | Alexandria via LeMat-Bulk | PBE-GGA | relaxed; ΔH_f (0 K) = 52.9 kJ per mole of atoms
1.0
3.897 0.000 0.000
0.000 3.843 0.000
0.000 0.000 4.185
Cr Fe Pb
2 1 1
Direct
0.000 0.000 0.000 Cr
0.500 0.500 0.000 Cr
0.500 0.000 0.500 Fe
0.000 0.500 0.500 Pb

No. 22
Cr2FePb | Alexandria via LeMat-Bulk | PBE-GGA | relaxed; ΔH_f (0 K) = 50.5 kJ per mole of atoms
1.0
-3.553 -2.392 2.119
0.442 -4.576 -1.304
3.130 3.054 1.927
Cr Fe Pb
2 1 1
Direct
0.997 0.997 0.000 Cr
0.741 0.241 0.500 Cr
0.508 0.508 0.000 Fe
0.254 0.754 0.500 Pb

No. 23
CrFe4Pb | Alexandria via LeMat-Bulk | PBE-GGA | relaxed; ΔH_f (0 K) = 39.0 kJ per mole of atoms
1.0
0.000 3.429 3.429
3.429 0.000 3.429
3.429 3.429 0.000
Cr Fe Pb
1 4 1
Direct
0.000 0.000 0.000 Cr
0.879 0.374 0.374 Fe
0.374 0.374 0.879 Fe
0.374 0.879 0.374 Fe
0.374 0.374 0.374 Fe
0.750 0.750 0.750 Pb

No. 24
Cr2FePb | Alexandria via LeMat-Bulk | PBE-GGA | relaxed; ΔH_f (0 K) = 52.7 kJ per mole of atoms
1.0
-3.531 -0.679 0.362
0.548 -2.966 -0.216
1.181 -3.261 5.404
Cr Fe Pb
2 1 1
Direct
0.000 0.924 0.074 Cr
0.000 0.576 0.426 Cr
0.500 0.250 0.250 Fe
0.500 0.750 0.750 Pb

No. 25
Cr2FePb | Alexandria via LeMat-Bulk | PBE-GGA | relaxed; ΔH_f (0 K) = 83.0 kJ per mole of atoms
1.0
-1.754 -6.044 2.895
6.701 -1.540 0.845
2.436 -2.595 4.345
Pb Cr Fe
2 4 2
Direct
0.000 0.000 0.000 Pb
0.750 0.250 0.500 Pb
0.559 0.125 0.250 Cr
0.191 0.625 0.250 Cr
0.375 0.441 0.750 Cr
0.875 0.809 0.750 Cr
0.500 0.500 0.000 Fe
0.250 0.750 0.500 Fe

No. 26
Cr2FePb | Alexandria via LeMat-Bulk | PBE-GGA | relaxed; ΔH_f (0 K) = 58.4 kJ per mole of atoms
1.0
-4.291 0.421 1.711
-3.914 -2.387 0.707
0.595 -1.531 4.507
Cr Fe Pb
2 1 1
Direct
0.012 0.012 0.915 Cr
0.488 0.488 0.585 Cr
0.750 0.750 0.750 Fe
0.250 0.250 0.250 Pb

No. 27
CrFePb | Alexandria via LeMat-Bulk | PBE-GGA | relaxed; ΔH_f (0 K) = 73.7 kJ per mole of atoms
1.0
-1.239 3.891 1.303
-2.820 -3.227 -0.096
0.749 -0.741 2.924
Cr Fe Pb
1 1 1
Direct
0.000 0.000 0.258 Cr
0.333 0.667 0.061 Fe
0.667 0.333 0.681 Pb

No. 28
CrFePb4 | Alexandria via LeMat-Bulk | PBE-GGA | relaxed; ΔH_f (0 K) = 94.2 kJ per mole of atoms
1.0
0.000 4.464 4.464
4.464 0.000 4.464
4.464 4.464 0.000
Cr Fe Pb
1 1 4
Direct
0.750 0.750 0.750 Cr
0.000 0.000 0.000 Fe
0.876 0.375 0.375 Pb
0.375 0.375 0.876 Pb
0.375 0.876 0.375 Pb
0.375 0.375 0.375 Pb